Below is a PBEsol-optimized structure of LaNiSbPb2, with properties calculated at the meta-GGA SCAN level.

Computed properties:
Its space group is No. 123. As for the formation energy without anion corrections: 0.7458 eV/atom. The calculation puts the density at 6.38 g cm⁻³. As for the crystal system: tetragonal. As for the energy: -48.87 eV per atom.

Cell: 5.6725 5.6725 5.9357 Å, 90.00 90.00 90.00°
Sites, in units of the cell vectors:
Pb 0.0000 0.5000 0.0000
Pb 0.5000 0.0000 0.0000
Sb 0.0000 0.0000 0.0000
Ni 0.5000 0.5000 0.5000
La 0.0000 0.0000 0.5000